First-principles (PBE) data for Pr2CrTcN5 after structural relaxation, as listed in Alexandria.

Summary:
As for the formation energy without anion corrections: -716 meV per atom. The calculation puts the spin magnetization at 0.30 μB per formula unit. The volume is 12.97 Å³/atom. The total energy is -155.24 eV per cell.

Cell lengths 3.3709, 7.2235, 9.8588 Å; angles 90.00, 90.00, 103.49 degrees
Last column: magnetic moment on the atom in μB.
Positions (direct):
Pr1 0.8684 0.7368 0.8138  0.01
Pr2 0.1253 0.2506 0.6838  0.01
Pr3 0.1316 0.2632 0.3138  0.01
Pr4 0.8747 0.7494 0.1838  0.01
Cr1 0.5627 0.1254 0.9518  0.00
Cr2 0.4373 0.8746 0.4518  0.00
Tc1 0.7976 0.5952 0.5193  0.19
Tc2 0.2024 0.4048 0.0193  0.19
N1 0.3400 0.6800 0.0058  0.04
N2 0.6848 0.3696 0.8739  0.02
N3 0.5054 0.0107 0.7999  0.00
N4 0.3018 0.6036 0.6430  0.00
N5 0.9583 0.9165 0.5327  0.01
N6 0.6600 0.3200 0.5058  0.04
N7 0.3152 0.6304 0.3739  0.02
N8 0.4946 0.9893 0.2999  0.00
N9 0.6982 0.3964 0.1430  0.00
N10 0.0417 0.0835 0.0327  0.01


First-principles (PBE) data for PrThCrN3 after structural relaxation, as listed in Alexandria.

Summary:
As for the formation energy without anion corrections: -1091 meV per atom. The calculation puts the spin magnetization at 0.00 μB per formula unit. The volume is 16.65 Å³/atom. The total energy is -106.69 eV per cell.

Cell lengths 3.5542, 7.4752, 7.5567 Å; angles 95.64, 90.00, 90.00 degrees
Positions (direct):
Pr1 0.7500 0.8468 0.8322
Pr2 0.2500 0.1532 0.1678
Th1 0.2500 0.6334 0.1828
Th2 0.7500 0.3666 0.8172
Cr1 0.2500 0.0792 0.5887
Cr2 0.7500 0.9208 0.4113
N1 0.2500 0.8486 0.4734
N2 0.7500 0.8730 0.1578
N3 0.7500 0.4020 0.1324
N4 0.7500 0.1514 0.5266
N5 0.2500 0.5980 0.8676
N6 0.2500 0.1270 0.8422


First-principles (PBE) data for PrTh2CrN5 after structural relaxation, as listed in Alexandria.

Summary:
As for the formation energy without anion corrections: -1286 meV per atom. The calculation puts the spin magnetization at 1.01 μB per formula unit. The volume is 14.48 Å³/atom. The total energy is -164.88 eV per cell.

Cell lengths 6.7940, 6.7940, 7.4127 Å; angles 117.28, 117.28, 90.00 degrees
Last column: magnetic moment on the atom in μB.
Positions (direct):
Pr1 0.2500 0.2500 0.5000  0.01
Pr2 0.7500 0.7500 0.5000  0.01
Th1 0.1762 0.3238 0.0000  0.06
Th2 0.6762 0.1762 0.0000  0.06
Th3 0.3238 0.8238 0.0000  0.06
Th4 0.8238 0.6762 0.0000  0.06
Cr1 0.2500 0.7500 0.5000  0.79
Cr2 0.7500 0.2500 0.5000  0.79
N1 0.0027 0.5027 0.2921  -0.01
N2 0.7107 0.2107 0.7079  -0.01
N3 0.9973 0.4973 0.7079  -0.01
N4 0.2107 0.9973 0.7079  -0.01
N5 0.4973 0.7107 0.7079  -0.01
N6 0.7893 0.0027 0.2921  -0.01
N7 0.5027 0.2893 0.2921  -0.01
N8 0.2893 0.7893 0.2921  -0.01
N9 0.5000 0.5000 0.0000  0.00
N10 0.0000 0.0000 0.0000  0.00


First-principles (PBE) data for PrTh2CrN4 after structural relaxation, as listed in Alexandria.

Summary:
As for the formation energy without anion corrections: -1140 meV per atom. The calculation puts the spin magnetization at 3.07 μB per formula unit. The volume is 16.03 Å³/atom. The total energy is -143.32 eV per cell.

Cell lengths 3.5196, 6.2514, 12.1446 Å; angles 90.00, 90.00, 106.35 degrees
Last column: magnetic moment on the atom in μB.
Positions (direct):
Pr1 0.1029 0.2059 0.7500  0.04
Pr2 0.8971 0.7941 0.2500  0.04
Th1 0.3676 0.7351 0.5509  0.15
Th2 0.6324 0.2649 0.0509  0.15
Th3 0.6324 0.2649 0.4491  0.15
Th4 0.3676 0.7351 0.9491  0.15
Cr1 0.8359 0.6717 0.7500  2.27
Cr2 0.1641 0.3283 0.2500  2.27
N1 0.2711 0.5422 0.1285  0.00
N2 0.7289 0.4578 0.6285  0.00
N3 0.7289 0.4578 0.8715  0.00
N4 0.2711 0.5422 0.3715  0.00
N5 0.0000 0.0000 0.5000  0.03
N6 0.0000 0.0000 0.0000  0.03
N7 0.4308 0.8616 0.7500  -0.06
N8 0.5692 0.1384 0.2500  -0.06